The following is a DFT calculation (PBE) of a relaxed structure of AlAgGe.

Cell and atoms, written as POSCAR:
```
AlAgGe
1.0
2.710 -4.702 0.000
2.710 4.702 0.000
-1.858 0.000 4.286
Al Ag Ge
2 2 2
direct
0.000 0.000 0.000
0.685 0.315 0.000
0.528 0.472 0.500
0.843 0.157 0.500
0.159 0.841 0.500
0.370 0.630 0.000
```

Properties
For the total magnetic moment, the calculation gives 0.00 μB per formula unit. For the density of states at the Fermi level, the calculation gives 0.942 states/eV/f.u. The value obtained for the energy is -21.50 eV for the cell shown. For the mass density, the calculation gives 6.31 Mg/m³.